# 1
First-principles (PBE) data for an optimized crystal structure of LiSi2Pb2Au7, as listed in the Alexandria database.

Calculated values
**Formation energy (no corrections)**: -112 meV per atom

The structure in POSCAR format:
```
LiSi2Pb2Au7
1.0
2.9552 -2.9566 0.0000
2.9552 2.9566 0.0000
-2.8925 0.0000 15.0871
Li Si Pb Au
1 2 2 7
direct
0.0000 0.0000 0.0000
0.3896 0.3896 0.7763
0.6104 0.6104 0.2237
0.2088 0.2088 0.4187
0.7912 0.7912 0.5813
0.0664 0.5671 0.1335
0.3095 0.3095 0.6163
0.4329 0.9336 0.8665
0.5000 0.5000 0.0000
0.5671 0.0664 0.1335
0.6905 0.6905 0.3837
0.9336 0.4329 0.8665
```

# 2
First-principles (PBE) data for an optimized crystal structure of Na2Ca2Hg, as listed in the Alexandria database.

Calculated values
**E_form**: -0.02 eV/atom
**Polymorph energy (0 for the lowest one)**: 0.036 eV/atom

The structure in POSCAR format:
```
Na2Ca2Hg
1.0
8.1905 0.0000 0.0000
0.0000 8.1905 0.0000
0.0000 0.0000 5.7333
Na Ca Hg
4 4 2
direct
0.1550 0.3450 0.0000
0.3450 0.8450 0.0000
0.6550 0.1550 0.0000
0.8450 0.6550 0.0000
0.1605 0.6605 0.5000
0.3395 0.1605 0.5000
0.6605 0.8395 0.5000
0.8395 0.3395 0.5000
0.0000 0.0000 0.5000
0.5000 0.5000 0.5000
```

# 3
First-principles (PBE) data for an optimized crystal structure of MgAgRu2, as listed in the Alexandria database.

Calculated values
**E_form**: 0.38 eV/atom

The structure in POSCAR format:
```
MgAgRu2
1.0
2.7787 0.0000 0.0000
0.0000 4.3229 0.0000
0.0000 0.0000 5.2719
Mg Ag Ru
1 1 2
direct
0.0000 0.0000 0.0000
0.0000 0.0000 0.5000
0.5000 0.5000 0.2269
0.5000 0.5000 0.7731
```

# 4
First-principles (PBE) data for an optimized crystal structure of Li2TbAgPd2, as listed in the Alexandria database.

Calculated values
**E_form**: -0.48 eV/atom

The structure in POSCAR format:
```
Li2TbAgPd2
1.0
4.3755 0.0000 0.0000
-2.1878 3.7893 0.0000
0.0000 0.0000 6.3855
Li Tb Ag Pd
2 1 1 2
direct
0.3333 0.6667 0.1530
0.6667 0.3333 0.8470
0.0000 0.0000 0.5000
0.0000 0.0000 0.0000
0.3333 0.6667 0.7369
0.6667 0.3333 0.2631
```

# 5
First-principles (PBE) data for an optimized crystal structure of GaPO3, as listed in the Alexandria database.

Calculated values
**Formation energy (no corrections)**: -343 meV per atom

The structure in POSCAR format:
```
GaPO3
1.0
3.7564 0.0000 0.0000
0.0000 3.7564 0.0000
0.0000 0.0000 3.7564
Ga P O
1 1 3
direct
0.0000 0.0000 0.0000
0.5000 0.5000 0.5000
0.0000 0.0000 0.5000
0.0000 0.5000 0.0000
0.5000 0.0000 0.0000
```

# 6
First-principles (PBE) data for an optimized crystal structure of Pm2YTl3, as listed in the Alexandria database.

Calculated values
**E_form**: -0.25 eV/atom
**Polymorph energy (0 for the lowest one)**: 0.141 eV/atom

The structure in POSCAR format:
```
Pm2YTl3
1.0
1.8755 -14.5240 0.0000
1.8755 14.5240 0.0000
0.0000 0.0000 6.7698
Pm Y Tl
4 2 6
direct
0.0056 0.9944 0.7500
0.1534 0.8466 0.2500
0.8466 0.1534 0.7500
0.9944 0.0056 0.2500
0.3322 0.6678 0.2500
0.6678 0.3322 0.7500
0.2546 0.7454 0.7500
0.4226 0.5774 0.5102
0.4226 0.5774 0.9898
0.5774 0.4226 0.0102
0.5774 0.4226 0.4898
0.7454 0.2546 0.2500
```

# 7
First-principles (PBE) data for an optimized crystal structure of CrSb2SI, as listed in the Alexandria database.

Calculated values
**Formation energy (no corrections)**: 1298 meV per atom
**Polymorph energy (0 for the lowest one)**: 0.720 eV/atom

The structure in POSCAR format:
```
CrSb2SI
1.0
5.1622 0.0000 0.0000
0.0000 5.1622 0.0000
0.0000 0.0000 5.4260
Cr Sb S I
1 2 1 1
direct
0.0000 0.0000 0.0000
0.0000 0.5000 0.5000
0.5000 0.0000 0.5000
0.5000 0.5000 0.5000
0.5000 0.5000 0.0000
```

# 8
First-principles (PBE) data for an optimized crystal structure of BaCaAcTb, as listed in the Alexandria database.

Calculated values
**E_form**: 0.18 eV/atom

The structure in POSCAR format:
```
BaCaAcTb
1.0
8.8325 0.0000 0.0000
0.0000 8.8325 0.0000
0.0000 0.0000 8.8325
Ba Ca Ac Tb
4 4 4 4
direct
0.0000 0.0000 0.0000
0.0000 0.5000 0.5000
0.5000 0.0000 0.5000
0.5000 0.5000 0.0000
0.2500 0.2500 0.7500
0.2500 0.7500 0.2500
0.7500 0.2500 0.2500
0.7500 0.7500 0.7500
0.2500 0.2500 0.2500
0.2500 0.7500 0.7500
0.7500 0.2500 0.7500
0.7500 0.7500 0.2500
0.0000 0.0000 0.5000
0.0000 0.5000 0.0000
0.5000 0.0000 0.0000
0.5000 0.5000 0.5000
```

no.,size of the total moment (Bohr magnetons per cell)
1,0.0
2,0.0
3,0.0
4,0.0
5,0.0
6,0.0
7,0.6
8,0.0